[1]
VASP calculation (PBE) on an optimized crystal structure of KFeW2.

Computed properties:
Excess energy over the best structure of this formula in the dataset: 709 meV per atom
Crystal system: orthorhombic
DFT formation energy: 588 kJ/mol of formula units
Calculated total energy: -7.34 eV/atom
Size of the total moment: 2.26 μB/f.u.

Structure (CIF):
```
data_KFeW2
_chemical_formula_sum 'K2 Fe2 W4'
_cell_length_a 2.7091
_cell_length_b 5.5099
_cell_length_c 10.2745
_cell_angle_alpha 90.00
_cell_angle_beta 90.00
_cell_angle_gamma 90.00
_symmetry_space_group_name_H-M 'I m m 2'
_symmetry_Int_Tables_number 44
loop_
_symmetry_equiv_pos_as_xyz
'x,y,z'
'-x,-y,z'
'-x,y,z'
'x,-y,z'
'x+1/2,y+1/2,z+1/2'
'-x+1/2,-y+1/2,z+1/2'
'-x+1/2,y+1/2,z+1/2'
'x+1/2,-y+1/2,z+1/2'
loop_
_atom_site_label
_atom_site_type_symbol
_atom_site_fract_x
_atom_site_fract_y
_atom_site_fract_z
K1 K 0.0000 0.0000 0.0000
Fe1 Fe 0.0000 0.5000 0.2304
W1 W 0.0000 0.0000 0.5347
W2 W 0.0000 0.5000 0.8004
```

[2]
VASP calculation (PBE) on an optimized crystal structure of KFe3W.

Computed properties:
Excess energy over the best structure of this formula in the dataset: 1482 meV per atom
Crystal system: cubic
DFT formation energy: 1412 kJ/mol of formula units
Calculated total energy: -4.96 eV/atom
Size of the total moment: 0.00 μB/f.u.

Structure (CIF):
```
data_KFe3W
_chemical_formula_sum 'K1 Fe3 W1'
_cell_length_a 4.1533
_cell_length_b 4.1533
_cell_length_c 4.1533
_cell_angle_alpha 90.00
_cell_angle_beta 90.00
_cell_angle_gamma 90.00
_symmetry_space_group_name_H-M 'P m -3 m'
_symmetry_Int_Tables_number 221
_symmetry_space_group_name_Hall '-P 4 2 3'
loop_
_atom_site_label
_atom_site_type_symbol
_atom_site_fract_x
_atom_site_fract_y
_atom_site_fract_z
K1 K 0.0000 0.0000 0.0000
Fe1 Fe 0.0000 0.0000 0.5000
W1 W 0.5000 0.5000 0.5000
```

[3]
VASP calculation (PBE) on an optimized crystal structure of KYFe4.

Computed properties:
Crystal system: cubic
DFT formation energy: 334 kJ/mol of formula units
Calculated total energy: -6.32 eV/atom
Size of the total moment: 9.19 μB/f.u.

Structure (CIF):
```
data_KYFe4
_chemical_formula_sum 'K4 Y4 Fe16'
_cell_length_a 7.5083
_cell_length_b 7.5083
_cell_length_c 7.5083
_cell_angle_alpha 90.00
_cell_angle_beta 90.00
_cell_angle_gamma 90.00
_symmetry_space_group_name_H-M 'F -4 3 m'
_symmetry_Int_Tables_number 216
_symmetry_space_group_name_Hall 'F -4 2 3'
loop_
_atom_site_label
_atom_site_type_symbol
_atom_site_fract_x
_atom_site_fract_y
_atom_site_fract_z
K1 K 0.0000 0.0000 0.0000
Y1 Y 0.2500 0.2500 0.7500
Fe1 Fe 0.1176 0.1176 0.3824
```

[4]
VASP calculation (PBE) on an optimized crystal structure of KY4Fe.

Computed properties:
Crystal system: cubic
DFT formation energy: 517 kJ/mol of formula units
Calculated total energy: -5.01 eV/atom
Size of the total moment: 3.08 μB/f.u.

Structure (CIF):
```
data_KY4Fe
_chemical_formula_sum 'K4 Y16 Fe4'
_cell_length_a 9.3390
_cell_length_b 9.3390
_cell_length_c 9.3390
_cell_angle_alpha 90.00
_cell_angle_beta 90.00
_cell_angle_gamma 90.00
_symmetry_space_group_name_H-M 'F -4 3 m'
_symmetry_Int_Tables_number 216
_symmetry_space_group_name_Hall 'F -4 2 3'
loop_
_atom_site_label
_atom_site_type_symbol
_atom_site_fract_x
_atom_site_fract_y
_atom_site_fract_z
K1 K 0.0000 0.0000 0.0000
Y1 Y 0.1229 0.1229 0.6229
Fe1 Fe 0.2500 0.2500 0.2500
```

Number 3 is which compound? KYFe4

size of the total moment of number 3 (KYFe4)? 9.19 μB/f.u.

What is the formula in the second record? KFe3W